# Y2MoC2

A relaxed structure of Y2MoC2 (PBE, the Alexandria database).

Results
Raw total energy (eV/atom): -8.757
Energy relative to the elements (eV/atom): -0.32
E above lowest polymorph (eV/atom): 0.000

Cell and atoms, written as CIF:
```
data_Y2MoC2
_symmetry_space_group_name_H-M 'P n m a'
_symmetry_Int_Tables_number 62
_symmetry_space_group_name_Hall '-P 2ac 2n'
_cell_length_a 6.674
_cell_length_b 5.133
_cell_length_c 10.014
_cell_angle_alpha 90.00
_cell_angle_beta 90.00
_cell_angle_gamma 90.00
loop_
_atom_site_label
_atom_site_fract_x
_atom_site_fract_y
_atom_site_fract_z
_atom_site_occupancy
Y1 0.044 0.250 0.220 1
Y2 0.175 0.250 0.559 1
Mo1 0.211 0.250 0.870 1
C1 0.060 0.750 0.242 1
C2 0.178 0.750 0.552 1
```